Record 1
# TiVS3 PBE-GGA relaxed
# * mass density: 3.77 g/cm3
# * E_tot: -34.993 eV per formula unit
# * magnetic moment: 1.6 μB/f.u.
# * offset from the most stable computed form: 70 meV per atom
data_TiVS3
_chemical_formula_sum 'Ti2 V2 S6'
_space_group_name_H-M_alt 'P -1'
_space_group_IT_number 2
_space_group_name_Hall '-P 1'
_cell_length_a 5.937
_cell_length_b 5.942
_cell_length_c 6.537
_cell_angle_alpha 63.27
_cell_angle_beta 63.53
_cell_angle_gamma 60.77
loop_
_atom_site_label
_atom_site_type_symbol
_atom_site_fract_x
_atom_site_fract_y
_atom_site_fract_z
Ti1 Ti 0.170 0.159 0.006
V1 V 0.343 0.346 0.496
S1 S 0.074 0.747 0.259
S2 S 0.249 0.584 0.751
S3 S 0.418 0.079 0.258

***

Record 2
# TiV2S3 PBE-GGA relaxed
# * mass density: 4.54 g/cm3
# * E_tot: -43.426 eV per formula unit
# * magnetic moment: 0.8 μB/f.u.
data_TiV2S3
_chemical_formula_sum 'Ti4 V8 S12'
_space_group_name_H-M_alt 'C 1 2/c 1'
_space_group_IT_number 15
_space_group_name_Hall '-C 2yc'
_cell_length_a 10.392
_cell_length_b 5.354
_cell_length_c 6.876
_cell_angle_alpha 90.00
_cell_angle_beta 109.82
_cell_angle_gamma 90.00
loop_
_atom_site_label
_atom_site_type_symbol
_atom_site_fract_x
_atom_site_fract_y
_atom_site_fract_z
Ti1 Ti 0.000 0.005 0.250
V1 V 0.181 0.382 0.573
S1 S 0.000 0.478 0.750
S2 S 0.173 0.054 0.086

***

Record 3
# TiVS2 PBE-GGA relaxed
# * mass density: 4.24 g/cm3
# * E_tot: -29.313 eV per formula unit
# * magnetic moment: 0.7 μB/f.u.
# * offset from the most stable computed form: 145 meV per atom
data_TiVS2
_chemical_formula_sum 'Ti4 V4 S8'
_space_group_name_H-M_alt 'I m m a'
_space_group_IT_number 74
_space_group_name_Hall '-I 2b 2'
_cell_length_a 4.611
_cell_length_b 4.635
_cell_length_c 11.945
_cell_angle_alpha 90.00
_cell_angle_beta 90.00
_cell_angle_gamma 90.00
loop_
_atom_site_label
_atom_site_type_symbol
_atom_site_fract_x
_atom_site_fract_y
_atom_site_fract_z
Ti1 Ti 0.000 0.250 0.073
V1 V 0.000 0.250 0.569
S1 S 0.000 0.250 0.367
S2 S 0.000 0.250 0.864

***

Record 4
# TiVS PBE-GGA relaxed
# * mass density: 4.87 g/cm3
# * E_tot: -23.175 eV per formula unit
# * magnetic moment: 0.0 μB/f.u.
# * offset from the most stable computed form: 170 meV per atom
data_TiVS
_chemical_formula_sum 'Ti2 V2 S2'
_space_group_name_H-M_alt 'P 1 21/m 1'
_space_group_IT_number 11
_space_group_name_Hall '-P 2yb'
_cell_length_a 3.070
_cell_length_b 4.688
_cell_length_c 6.292
_cell_angle_alpha 90.00
_cell_angle_beta 99.73
_cell_angle_gamma 90.00
loop_
_atom_site_label
_atom_site_type_symbol
_atom_site_fract_x
_atom_site_fract_y
_atom_site_fract_z
Ti1 Ti 0.129 0.250 0.290
V1 V 0.356 0.250 0.917
S1 S 0.237 0.750 0.373

***

Record 5
# Ti3VS8 PBE-GGA relaxed
# * mass density: 2.93 g/cm3
# * E_tot: -79.685 eV per formula unit
# * magnetic moment: 0.7 μB/f.u.
data_Ti3VS8
_chemical_formula_sum 'Ti6 V2 S16'
_space_group_name_H-M_alt 'C 1 2/m 1'
_space_group_IT_number 12
_space_group_name_Hall '-C 2y'
_cell_length_a 11.594
_cell_length_b 6.691
_cell_length_c 7.680
_cell_angle_alpha 90.00
_cell_angle_beta 120.82
_cell_angle_gamma 90.00
loop_
_atom_site_label
_atom_site_type_symbol
_atom_site_fract_x
_atom_site_fract_y
_atom_site_fract_z
Ti1 Ti 0.000 0.000 0.000
Ti2 Ti 0.250 0.250 0.000
V1 V 0.000 0.500 0.000
S1 S 0.008 0.254 0.782
S2 S 0.238 0.500 0.218
S3 S 0.242 0.000 0.221

***

Record 6
# TiVS PBE-GGA relaxed
# * mass density: 5.45 g/cm3
# * E_tot: -23.684 eV per formula unit
# * magnetic moment: 0.0 μB/f.u.
# * offset from the most stable computed form: 0 meV per atom
data_TiVS
_chemical_formula_sum 'Ti2 V2 S2'
_space_group_name_H-M_alt 'P 4/n m m'
_space_group_IT_number 129
_cell_length_a 3.484
_cell_length_b 3.484
_cell_length_c 6.571
_cell_angle_alpha 90.00
_cell_angle_beta 90.00
_cell_angle_gamma 90.00
loop_
_space_group_symop_operation_xyz
'x,y,z'
'-x,-y,-z'
'-y+1/2,x,z'
'y+1/2,-x,-z'
'-x+1/2,-y+1/2,z'
'x+1/2,y+1/2,-z'
'y,-x+1/2,z'
'-y,x+1/2,-z'
'x+1/2,-y,-z'
'-x+1/2,y,z'
'-y,-x,-z'
'y,x,z'
'-x,y+1/2,-z'
'x,-y+1/2,z'
'y+1/2,x+1/2,-z'
'-y+1/2,-x+1/2,z'
loop_
_atom_site_label
_atom_site_type_symbol
_atom_site_fract_x
_atom_site_fract_y
_atom_site_fract_z
Ti1 Ti 0.250 0.250 0.146
V1 V 0.250 0.750 0.500
S1 S 0.250 0.250 0.768

***

Record 7
# TiV2S4 PBE-GGA relaxed
# * mass density: 3.45 g/cm3
# * E_tot: -45.613 eV per formula unit
# * magnetic moment: 5.5 μB/f.u.
# * offset from the most stable computed form: 488 meV per atom
data_TiV2S4
_chemical_formula_sum 'Ti2 V4 S8'
_space_group_name_H-M_alt 'I 4/m m m'
_space_group_IT_number 139
_space_group_name_Hall '-I 4 2'
_cell_length_a 4.749
_cell_length_b 4.749
_cell_length_c 11.858
_cell_angle_alpha 90.00
_cell_angle_beta 90.00
_cell_angle_gamma 90.00
loop_
_atom_site_label
_atom_site_type_symbol
_atom_site_fract_x
_atom_site_fract_y
_atom_site_fract_z
Ti1 Ti 0.000 0.000 0.000
V1 V 0.000 0.000 0.387
S1 S 0.000 0.000 0.201
S2 S 0.000 0.500 0.000

***

Record 8
# TiVS3 PBE-GGA relaxed
# * mass density: 3.91 g/cm3
# * E_tot: -35.342 eV per formula unit
# * magnetic moment: 0.0 μB/f.u.
# * offset from the most stable computed form: 0 meV per atom
data_TiVS3
_chemical_formula_sum 'Ti2 V2 S6'
_space_group_name_H-M_alt 'P 1 21/m 1'
_space_group_IT_number 11
_space_group_name_Hall '-P 2yb'
_cell_length_a 6.032
_cell_length_b 3.297
_cell_length_c 8.612
_cell_angle_alpha 90.00
_cell_angle_beta 104.70
_cell_angle_gamma 90.00
loop_
_atom_site_label
_atom_site_type_symbol
_atom_site_fract_x
_atom_site_fract_y
_atom_site_fract_z
Ti1 Ti 0.232 0.250 0.496
V1 V 0.381 0.250 0.866
S1 S 0.007 0.750 0.318
S2 S 0.242 0.750 0.003
S3 S 0.478 0.750 0.673

***

Record 9
# TiV3S6 PBE-GGA relaxed
# * mass density: 3.91 g/cm3
# * E_tot: -70.130 eV per formula unit
# * magnetic moment: 3.9 μB/f.u.
# * offset from the most stable computed form: 0 meV per atom
data_TiV3S6
_chemical_formula_sum 'Ti3 V9 S18'
_space_group_name_H-M_alt 'R 3'
_space_group_IT_number 146
_space_group_name_Hall 'R 3'
_cell_length_a 5.8765
_cell_length_b 5.8765
_cell_length_c 16.7611
_cell_angle_alpha 90.00
_cell_angle_beta 90.00
_cell_angle_gamma 120.00
loop_
_atom_site_label
_atom_site_type_symbol
_atom_site_fract_x
_atom_site_fract_y
_atom_site_fract_z
Ti1 Ti 0.0000 0.0000 0.0000
V1 V 0.0000 0.0000 0.3297
V2 V 0.0000 0.0000 0.4989
V3 V 0.0000 0.0000 0.8314
S1 S 0.0004 0.6687 0.2464
S2 S 0.0016 0.3388 0.0818

***

Record 10
# Ti3VS PBE-GGA relaxed
# * mass density: 4.22 g/cm3
# * E_tot: -37.720 eV per formula unit
# * magnetic moment: 1.8 μB/f.u.
# * offset from the most stable computed form: 389 meV per atom
data_Ti3VS
_chemical_formula_sum 'Ti3 V1 S1'
_space_group_name_H-M_alt 'P m -3 m'
_space_group_IT_number 221
_space_group_name_Hall '-P 4 2 3'
_cell_length_a 4.467
_cell_length_b 4.467
_cell_length_c 4.467
_cell_angle_alpha 90.00
_cell_angle_beta 90.00
_cell_angle_gamma 90.00
loop_
_atom_site_label
_atom_site_type_symbol
_atom_site_fract_x
_atom_site_fract_y
_atom_site_fract_z
Ti1 Ti 0.000 0.000 0.500
V1 V 0.500 0.500 0.500
S1 S 0.000 0.000 0.000

***

Record 11
# Ti2VS6 PBE-GGA relaxed
# * mass density: 3.28 g/cm3
# * E_tot: -58.659 eV per formula unit
# * magnetic moment: 0.8 μB/f.u.
# * offset from the most stable computed form: 117 meV per atom
data_Ti2VS6
_chemical_formula_sum 'Ti4 V2 S12'
_space_group_name_H-M_alt 'P 42/m n m'
_space_group_IT_number 136
_space_group_name_Hall '-P 4n 2n'
_cell_length_a 5.854
_cell_length_b 5.854
_cell_length_c 10.009
_cell_angle_alpha 90.00
_cell_angle_beta 90.00
_cell_angle_gamma 90.00
loop_
_atom_site_label
_atom_site_type_symbol
_atom_site_fract_x
_atom_site_fract_y
_atom_site_fract_z
Ti1 Ti 0.000 0.000 0.168
V1 V 0.000 0.000 0.500
S1 S 0.199 0.199 0.337
S2 S 0.203 0.203 0.000

***

Record 12
# TiVS2 PBE-GGA relaxed
# * mass density: 3.64 g/cm3
# * E_tot: -27.868 eV per formula unit
# * magnetic moment: 3.8 μB/f.u.
# * offset from the most stable computed form: 507 meV per atom
data_TiVS2
_chemical_formula_sum 'Ti3 V3 S6'
_space_group_name_H-M_alt 'R -3 m'
_space_group_IT_number 166
_space_group_name_Hall '-R 3 2"'
_cell_length_a 3.3318
_cell_length_b 3.3318
_cell_length_c 23.1929
_cell_angle_alpha 90.00
_cell_angle_beta 90.00
_cell_angle_gamma 120.00
loop_
_atom_site_label
_atom_site_type_symbol
_atom_site_fract_x
_atom_site_fract_y
_atom_site_fract_z
Ti1 Ti 0.0000 0.0000 0.0000
V1 V 0.0000 0.0000 0.5000
S1 S 0.0000 0.0000 0.3979

***

Record 13
# TiVS2 PBE-GGA relaxed
# * mass density: 5.00 g/cm3
# * E_tot: -28.349 eV per formula unit
# * magnetic moment: 1.0 μB/f.u.
# * offset from the most stable computed form: 386 meV per atom
data_TiVS2
_chemical_formula_sum 'Ti4 V4 S8'
_space_group_name_H-M_alt 'F m -3 m'
_space_group_IT_number 225
_space_group_name_Hall '-F 4 2 3'
_cell_length_a 6.002
_cell_length_b 6.002
_cell_length_c 6.002
_cell_angle_alpha 90.00
_cell_angle_beta 90.00
_cell_angle_gamma 90.00
loop_
_atom_site_label
_atom_site_type_symbol
_atom_site_fract_x
_atom_site_fract_y
_atom_site_fract_z
Ti1 Ti 0.000 0.000 0.000
V1 V 0.000 0.000 0.500
S1 S 0.250 0.250 0.250

***

Record 14
# TiV3S PBE-GGA relaxed
# * mass density: 5.63 g/cm3
# * E_tot: -41.848 eV per formula unit
# * magnetic moment: 0.0 μB/f.u.
# * offset from the most stable computed form: 0 meV per atom
data_TiV3S
_chemical_formula_sum 'Ti4 V12 S4'
_space_group_name_H-M_alt 'P n m a'
_space_group_IT_number 62
_space_group_name_Hall '-P 2ac 2n'
_cell_length_a 8.100
_cell_length_b 3.183
_cell_length_c 10.653
_cell_angle_alpha 90.00
_cell_angle_beta 90.00
_cell_angle_gamma 90.00
loop_
_atom_site_label
_atom_site_type_symbol
_atom_site_fract_x
_atom_site_fract_y
_atom_site_fract_z
Ti1 Ti 0.156 0.250 0.012
V1 V 0.053 0.250 0.417
V2 V 0.092 0.750 0.228
V3 V 0.156 0.750 0.793
S1 S 0.152 0.250 0.629

***

Record 15
# TiV2S6 PBE-GGA relaxed
# * mass density: 3.25 g/cm3
# * E_tot: -57.273 eV per formula unit
# * magnetic moment: 0.0 μB/f.u.
# * offset from the most stable computed form: 273 meV per atom
data_TiV2S6
_chemical_formula_sum 'Ti2 V4 S12'
_space_group_name_H-M_alt 'C 1 2/m 1'
_space_group_IT_number 12
_space_group_name_Hall '-C 2y'
_cell_length_a 11.587
_cell_length_b 4.201
_cell_length_c 8.256
_cell_angle_alpha 90.00
_cell_angle_beta 119.57
_cell_angle_gamma 90.00
loop_
_atom_site_label
_atom_site_type_symbol
_atom_site_fract_x
_atom_site_fract_y
_atom_site_fract_z
Ti1 Ti 0.000 0.000 0.000
V1 V 0.146 0.000 0.581
S1 S 0.031 0.000 0.727
S2 S 0.142 0.500 0.120
S3 S 0.201 0.500 0.550

***

Record 16
# TiVS3 PBE-GGA relaxed
# * mass density: 3.20 g/cm3
# * E_tot: -30.527 eV per formula unit
# * magnetic moment: 2.8 μB/f.u.
# * offset from the most stable computed form: 963 meV per atom
data_TiVS3
_chemical_formula_sum 'Ti1 V1 S3'
_space_group_name_H-M_alt 'P m -3 m'
_space_group_IT_number 221
_space_group_name_Hall '-P 4 2 3'
_cell_length_a 4.659
_cell_length_b 4.659
_cell_length_c 4.659
_cell_angle_alpha 90.00
_cell_angle_beta 90.00
_cell_angle_gamma 90.00
loop_
_atom_site_label
_atom_site_type_symbol
_atom_site_fract_x
_atom_site_fract_y
_atom_site_fract_z
Ti1 Ti 0.000 0.000 0.000
V1 V 0.500 0.500 0.500
S1 S 0.000 0.000 0.500

***

Record 17
# TiV3S PBE-GGA relaxed
# * mass density: 4.92 g/cm3
# * E_tot: -39.385 eV per formula unit
# * magnetic moment: 1.1 μB/f.u.
# * offset from the most stable computed form: 493 meV per atom
data_TiV3S
_chemical_formula_sum 'Ti1 V3 S1'
_space_group_name_H-M_alt 'P m -3 m'
_space_group_IT_number 221
_space_group_name_Hall '-P 4 2 3'
_cell_length_a 4.283
_cell_length_b 4.283
_cell_length_c 4.283
_cell_angle_alpha 90.00
_cell_angle_beta 90.00
_cell_angle_gamma 90.00
loop_
_atom_site_label
_atom_site_type_symbol
_atom_site_fract_x
_atom_site_fract_y
_atom_site_fract_z
Ti1 Ti 0.000 0.000 0.000
V1 V 0.000 0.500 0.500
S1 S 0.500 0.500 0.500

***

Record 18
# TiV2S5 PBE-GGA relaxed
# * mass density: 2.99 g/cm3
# * E_tot: -52.875 eV per formula unit
# * magnetic moment: 0.0 μB/f.u.
data_TiV2S5
_chemical_formula_sum 'Ti4 V8 S20'
_space_group_name_H-M_alt 'F m m m'
_space_group_IT_number 69
_space_group_name_Hall '-F 2 2'
_cell_length_a 4.385
_cell_length_b 12.371
_cell_length_c 12.681
_cell_angle_alpha 90.00
_cell_angle_beta 90.00
_cell_angle_gamma 90.00
loop_
_atom_site_label
_atom_site_type_symbol
_atom_site_fract_x
_atom_site_fract_y
_atom_site_fract_z
Ti1 Ti 0.000 0.000 0.000
V1 V 0.000 0.190 0.500
S1 S 0.000 0.000 0.500
S2 S 0.000 0.163 0.118

***

Record 19
# TiV2S6 PBE-GGA relaxed
# * mass density: 3.15 g/cm3
# * E_tot: -59.730 eV per formula unit
# * magnetic moment: 1.6 μB/f.u.
# * offset from the most stable computed form: 0 meV per atom
data_TiV2S6
_chemical_formula_sum 'Ti2 V4 S12'
_space_group_name_H-M_alt 'C 1 2/m 1'
_space_group_IT_number 12
_space_group_name_Hall '-C 2y'
_cell_length_a 16.089
_cell_length_b 3.263
_cell_length_c 7.504
_cell_angle_alpha 90.00
_cell_angle_beta 113.88
_cell_angle_gamma 90.00
loop_
_atom_site_label
_atom_site_type_symbol
_atom_site_fract_x
_atom_site_fract_y
_atom_site_fract_z
Ti1 Ti 0.000 0.000 0.000
V1 V 0.172 0.500 0.342
S1 S 0.009 0.500 0.242
S2 S 0.164 0.000 0.105
S3 S 0.172 0.000 0.570

***

Record 20
# Zr2TiVS6 PBE-GGA relaxed
# * mass density: 4.02 g/cm3
# * E_tot: -72.051 eV per formula unit
# * magnetic moment: 1.1 μB/f.u.
data_Zr2TiVS6
_chemical_formula_sum 'Zr6 Ti3 V3 S18'
_space_group_name_H-M_alt 'R 3'
_space_group_IT_number 146
_space_group_name_Hall 'R 3'
_cell_length_a 6.2130
_cell_length_b 6.2130
_cell_length_c 17.5740
_cell_angle_alpha 90.00
_cell_angle_beta 90.00
_cell_angle_gamma 120.00
loop_
_atom_site_label
_atom_site_type_symbol
_atom_site_fract_x
_atom_site_fract_y
_atom_site_fract_z
Zr1 Zr 0.0000 0.0000 0.0000
Zr2 Zr 0.0000 0.0000 0.4991
Ti1 Ti 0.0000 0.0000 0.8252
V1 V 0.0000 0.0000 0.3259
S1 S 0.0198 0.3366 0.9096
S2 S 0.0208 0.6860 0.4086